No. 1
A plane-wave DFT calculation with GGA-PBE was carried out for a relaxed structure of Sm8Dy3Th3.

Results
Total moment, μB/atom: 0.000
Calculated total energy, eV/atom: -5.111

CIF file:
```
data_Sm8Dy3Th3
_chemical_formula_sum 'Sm16 Dy6 Th6'
_space_group_name_H-M_alt 'I m m m'
_space_group_IT_number 71
_space_group_name_Hall '-I 2 2'
_cell_length_a 5.7470
_cell_length_b 10.6472
_cell_length_c 15.1784
_cell_angle_alpha 90.00
_cell_angle_beta 90.00
_cell_angle_gamma 90.00
loop_
_atom_site_label
_atom_site_type_symbol
_atom_site_fract_x
_atom_site_fract_y
_atom_site_fract_z
_atom_site_occupancy
Sm1 Sm 0.0000 0.1576 0.2234 1
Sm2 Sm 0.0000 0.3355 0.3972 1
Dy1 Dy 0.0000 0.0000 0.0000 1
Dy2 Dy 0.0000 0.3122 0.0000 1
Th1 Th 0.0000 0.0000 0.5000 1
Th2 Th 0.0000 0.5000 0.1838 1
```

=====

No. 2
A plane-wave DFT calculation with GGA-PBE was carried out for a relaxed structure of Sm3Dy5Th3.

Results
Total moment, μB/atom: 0.000
Calculated total energy, eV/atom: -4.541

CIF file:
```
data_Sm3Dy5Th3
_chemical_formula_sum 'Sm3 Dy5 Th3'
_space_group_name_H-M_alt 'P -6 2 m'
_space_group_IT_number 189
_space_group_name_Hall 'P -6 -2'
_cell_length_a 9.6061
_cell_length_b 9.6061
_cell_length_c 5.4622
_cell_angle_alpha 90.00
_cell_angle_beta 90.00
_cell_angle_gamma 120.00
loop_
_atom_site_label
_atom_site_type_symbol
_atom_site_fract_x
_atom_site_fract_y
_atom_site_fract_z
_atom_site_occupancy
Sm1 Sm 0.0000 0.7366 0.0000 1
Dy1 Dy 0.0000 0.3695 0.0000 1
Dy2 Dy 0.3333 0.6667 0.0000 1
Th1 Th 0.0000 0.5867 0.5000 1
```

=====

No. 3
A plane-wave DFT calculation with GGA-PBE was carried out for a relaxed structure of Sm5Dy3Th.

Results
Total moment, μB/atom: 0.000
Calculated total energy, eV/atom: -4.670

CIF file:
```
data_Sm5Dy3Th
_chemical_formula_sum 'Sm20 Dy12 Th4'
_space_group_name_H-M_alt 'I 4/m c m'
_space_group_IT_number 140
_space_group_name_Hall '-I 4 2c'
_cell_length_a 7.8978
_cell_length_b 7.8978
_cell_length_c 19.4641
_cell_angle_alpha 90.00
_cell_angle_beta 90.00
_cell_angle_gamma 90.00
loop_
_atom_site_label
_atom_site_type_symbol
_atom_site_fract_x
_atom_site_fract_y
_atom_site_fract_z
_atom_site_occupancy
Sm1 Sm 0.0000 0.0000 0.0000 1
Sm2 Sm 0.2061 0.2939 0.1322 1
Dy1 Dy 0.0000 0.0000 0.2500 1
Dy2 Dy 0.1305 0.3695 0.5000 1
Th1 Th 0.0000 0.5000 0.2500 1
```

=====

No. 4
A plane-wave DFT calculation with GGA-PBE was carried out for a relaxed structure of Sm4Dy15Th.

Results
Total moment, μB/atom: 0.000
Calculated total energy, eV/atom: -4.745

CIF file:
```
data_Sm4Dy15Th
_chemical_formula_sum 'Sm4 Dy15 Th1'
_space_group_name_H-M_alt 'P 4/m m m'
_space_group_IT_number 123
_space_group_name_Hall '-P 4 2'
_cell_length_a 5.0470
_cell_length_b 5.0470
_cell_length_c 25.1039
_cell_angle_alpha 90.00
_cell_angle_beta 90.00
_cell_angle_gamma 90.00
loop_
_atom_site_label
_atom_site_type_symbol
_atom_site_fract_x
_atom_site_fract_y
_atom_site_fract_z
_atom_site_occupancy
Sm1 Sm 0.0000 0.0000 0.1001 1
Sm2 Sm 0.0000 0.0000 0.3008 1
Dy1 Dy 0.0000 0.5000 0.0000 1
Dy2 Dy 0.0000 0.5000 0.2005 1
Dy3 Dy 0.0000 0.5000 0.4019 1
Dy4 Dy 0.5000 0.5000 0.1003 1
Dy5 Dy 0.5000 0.5000 0.3001 1
Dy6 Dy 0.5000 0.5000 0.5000 1
Th1 Th 0.0000 0.0000 0.5000 1
```

=====

No. 5
A plane-wave DFT calculation with GGA-PBE was carried out for a relaxed structure of Sm4Dy10Th.

Results
Total moment, μB/atom: 0.000
Calculated total energy, eV/atom: -4.574

CIF file:
```
data_Sm4Dy10Th
_chemical_formula_sum 'Sm8 Dy20 Th2'
_space_group_name_H-M_alt 'I 4/m m m'
_space_group_IT_number 139
_space_group_name_Hall '-I 4 2'
_cell_length_a 11.1957
_cell_length_b 11.1957
_cell_length_c 8.0767
_cell_angle_alpha 90.00
_cell_angle_beta 90.00
_cell_angle_gamma 90.00
loop_
_atom_site_label
_atom_site_type_symbol
_atom_site_fract_x
_atom_site_fract_y
_atom_site_fract_z
_atom_site_occupancy
Sm1 Sm 0.2251 0.2251 0.0000 1
Dy1 Dy 0.0000 0.2071 0.2959 1
Dy2 Dy 0.0000 0.5000 0.2500 1
Th1 Th 0.0000 0.0000 0.0000 1
```

=====

No. 6
A plane-wave DFT calculation with GGA-PBE was carried out for a relaxed structure of Sm2Dy5Th3.

Results
Total moment, μB/atom: 0.000
Calculated total energy, eV/atom: -5.428

CIF file:
```
data_Sm2Dy5Th3
_chemical_formula_sum 'Sm4 Dy10 Th6'
_space_group_name_H-M_alt 'C 1 2/m 1'
_space_group_IT_number 12
_space_group_name_Hall '-C 2y'
_cell_length_a 11.3012
_cell_length_b 5.0422
_cell_length_c 11.3089
_cell_angle_alpha 90.00
_cell_angle_beta 90.15
_cell_angle_gamma 90.00
loop_
_atom_site_label
_atom_site_type_symbol
_atom_site_fract_x
_atom_site_fract_y
_atom_site_fract_z
_atom_site_occupancy
Sm1 Sm 0.0975 0.0000 0.2978 1
Dy1 Dy 0.0000 0.5000 0.5000 1
Dy2 Dy 0.1998 0.0000 0.6023 1
Dy3 Dy 0.2003 0.5000 0.0984 1
Th1 Th 0.0000 0.0000 0.0000 1
Th2 Th 0.0987 0.5000 0.8010 1
```